Entry from Alexandria via LeMat-Bulk: a relaxed AlSiNi6 crystal (PBE).

It has space group P4/mmm (No. 123), with a = 3.3711 Å, b = 3.3711 Å, c = 8.9082 Å, α = 90.00°, β = 90.00° and γ = 90.00°. The inequivalent atoms are Al at (0.0000, 0.0000, 0.0000), Si at (0.0000, 0.0000, 0.5000), Ni at (0.0000, 0.5000, 0.3241) and Ni at (0.5000, 0.5000, 0.1270).

For the offset from the most stable computed form, the calculation gives 0.4059 eV per atom. The value obtained for the density of states at the Fermi level is 10.494 states/eV/f.u.

***

Entry from Alexandria via LeMat-Bulk: a relaxed Al2Si3Ni crystal (PBE).

It has space group P6_3/mmc (No. 194), with a = 5.1014 Å, b = 5.1014 Å, c = 7.5986 Å, α = 90.00°, β = 90.00° and γ = 120.00°. The inequivalent atoms are Al at (0.3333, 0.6667, 0.0725), Si at (0.1709, 0.3417, 0.7500) and Ni at (0.0000, 0.0000, 0.0000).

For the offset from the most stable computed form, the calculation gives 0.0089 eV per atom. The value obtained for the density of states at the Fermi level is 3.444 states/eV/f.u.

***

Entry from Alexandria via LeMat-Bulk: a relaxed AlSiNi crystal (PBE).

It has space group P6_3mc (No. 186), with a = 3.8276 Å, b = 3.8276 Å, c = 7.2115 Å, α = 90.00°, β = 90.00° and γ = 120.00°. The inequivalent atoms are Al at (0.3333, 0.6667, 0.0000), Si at (0.0000, 0.0000, 0.2799) and Ni at (0.3333, 0.6667, 0.3300).

The value obtained for the density of states at the Fermi level is 1.638 states/eV/f.u.

***

Entry from Alexandria via LeMat-Bulk: a relaxed AlSiNi crystal (PBE).

It has space group P6_3mc (No. 186), with a = 3.8852 Å, b = 3.8852 Å, c = 6.3083 Å, α = 90.00°, β = 90.00° and γ = 120.00°. The inequivalent atoms are Al at (0.0000, 0.0000, 0.0000), Si at (0.3333, 0.6667, 0.2316) and Ni at (0.3333, 0.6667, 0.8552).

The value obtained for the density of states at the Fermi level is 1.453 states/eV/f.u.

***

Entry from Alexandria via LeMat-Bulk: a relaxed AlSi3Ni crystal (PBE).

It has space group Pm-3m (No. 221), with a = 6.0558 Å, b = 6.0558 Å, c = 6.0558 Å, α = 90.00°, β = 90.00° and γ = 90.00°. The inequivalent atoms are Al at (0.0000, 0.0000, 0.5000), Si at (0.2610, 0.2610, 0.2610), Si at (0.5000, 0.5000, 0.5000) and Ni at (0.0000, 0.5000, 0.5000).

The value obtained for the density of states at the Fermi level is 1.507 states/eV/f.u.

***

Entry from Alexandria via LeMat-Bulk: a relaxed AlSi2Ni8 crystal (PBE).

It has space group P4/mmm (No. 123), with a = 3.5061 Å, b = 3.5061 Å, c = 10.4189 Å, α = 90.00°, β = 90.00° and γ = 90.00°. The inequivalent atoms are Al at (0.0000, 0.0000, 0.0000), Si at (0.0000, 0.0000, 0.3316), Ni at (0.0000, 0.5000, 0.1656), Ni at (0.0000, 0.5000, 0.5000) and Ni at (0.5000, 0.5000, 0.3322).

For the offset from the most stable computed form, the calculation gives 0.1343 eV per atom. The value obtained for the density of states at the Fermi level is 13.220 states/eV/f.u.

***

no.,raw formation energy (eV per atom),spin magnetization (μB per cell),E_tot (eV/cell)
1,-0.04,0.09,-44.15
2,0.05,0.00,-58.42
3,-0.27,0.00,-31.53
4,-0.31,0.00,-31.77
5,0.28,0.00,-73.18
6,-0.31,0.00,-64.25